Record 1
# CaBeSiOs2, relaxed, DFT PBE
data_CaBeSiOs2
_chemical_formula_sum 'Ca1 Be1 Si1 Os2'
_symmetry_space_group_name_H-M 'P 1'
_symmetry_Int_Tables_number 1
_symmetry_space_group_name_Hall 'P 1'
_cell_length_a 4.443
_cell_length_b 4.443
_cell_length_c 4.977
_cell_angle_alpha 90.00
_cell_angle_beta 90.00
_cell_angle_gamma 90.00
loop_
_atom_site_label
_atom_site_fract_x
_atom_site_fract_y
_atom_site_fract_z
Ca1 0.000 0.000 0.000
Be1 0.500 0.500 0.000
Si1 0.000 0.000 0.500
Os1 0.000 0.500 0.500
Os2 0.500 0.000 0.500
# uncorrected energy: -5.63 eV/atom
# density of states at the Fermi level: 4.98 states/eV/cell
# space-group type: P4/mmm
# formation energy (no corrections): 1.09 eV/atom



Record 2
# La4BiIr, relaxed, DFT PBE
data_La4BiIr
_chemical_formula_sum 'La8 Bi2 Ir2'
_symmetry_space_group_name_H-M 'P 1'
_symmetry_Int_Tables_number 1
_symmetry_space_group_name_Hall 'P 1'
_cell_length_a 8.835
_cell_length_b 8.835
_cell_length_c 7.973
_cell_angle_alpha 105.54
_cell_angle_beta 105.54
_cell_angle_gamma 41.79
loop_
_atom_site_label
_atom_site_fract_x
_atom_site_fract_y
_atom_site_fract_z
La1 0.041 0.798 0.558
La2 0.202 0.959 0.942
La3 0.214 0.428 0.859
La4 0.428 0.214 0.359
La5 0.572 0.786 0.641
La6 0.786 0.572 0.141
La7 0.798 0.041 0.058
La8 0.959 0.202 0.442
Bi1 0.375 0.625 0.250
Bi2 0.625 0.375 0.750
Ir1 0.000 0.500 0.500
Ir2 0.500 0.000 0.000
# uncorrected energy: -6.00 eV/atom
# density of states at the Fermi level: 12.05 states/eV/cell
# space-group type: C2/c
# E_form: -57.50 kJ per mole of atoms